1.
VASP calculation (GGA-PBE) on an optimized crystal structure of Mg2GaPF.

Lattice parameters (Å, degrees): 5.081 5.081 3.943 90.00 90.00 90.00
Space group P4/mmm (No. 123)
Inequivalent atoms, fractional coordinates:
Mg1 0.000 0.500 0.000
Ga1 0.000 0.000 0.500
P1 0.500 0.500 0.000
F1 0.500 0.500 0.500

---

2.
VASP calculation (GGA-PBE) on an optimized crystal structure of Rb2MgGaF.

Lattice parameters (Å, degrees): 7.433 7.433 3.837 90.00 90.00 90.00
Space group P4/mmm (No. 123)
Inequivalent atoms, fractional coordinates:
Rb1 0.000 0.500 0.000
Mg1 0.000 0.000 0.000
Ga1 0.500 0.500 0.500
F1 0.000 0.000 0.500

---

3.
VASP calculation (GGA-PBE) on an optimized crystal structure of RbMgGaF6.

Lattice parameters (Å, degrees): 7.250 7.370 10.322 90.00 90.00 90.00
Space group Imma (No. 74)
Inequivalent atoms, fractional coordinates:
Rb1 0.000 0.250 0.109
Mg1 0.250 0.250 0.750
Ga1 0.000 0.000 0.500
F1 0.000 0.250 0.434
F2 0.000 0.250 0.823
F3 0.189 0.051 0.622

---

4.
VASP calculation (GGA-PBE) on an optimized crystal structure of MgSc2GaF.

Lattice parameters (Å, degrees): 4.378 4.378 5.047 90.00 90.00 90.00
Space group P4/mmm (No. 123)
Inequivalent atoms, fractional coordinates:
Mg1 0.000 0.000 0.000
Sc1 0.000 0.500 0.500
Ga1 0.500 0.500 0.000
F1 0.500 0.500 0.500

---

5.
VASP calculation (GGA-PBE) on an optimized crystal structure of MgTlGaF6.

Lattice parameters (Å, degrees): 7.264 7.375 10.327 90.00 90.00 90.00
Space group Imma (No. 74)
Inequivalent atoms, fractional coordinates:
Mg1 0.250 0.250 0.250
Tl1 0.000 0.250 0.585
Ga1 0.000 0.000 0.000
F1 0.000 0.250 0.326
F2 0.000 0.250 0.935
F3 0.189 0.054 0.121

---

Number 1: raw formation energy -1.84 eV per formula unit. Number 2: raw formation energy -2.76 eV per formula unit. Number 3: raw formation energy -27.32 eV per formula unit. Number 4: raw formation energy -4.10 eV per formula unit. Number 5: raw formation energy -25.14 eV per formula unit.